VASP calculation (PBE with a Hubbard U) on a relaxed structure of TmNpFe2O6. Values from VASP.

```
&SYSTEM
  ibrav = 0, nat = 10, ntyp = 4
/
ATOMIC_SPECIES
Tm 168.93 Tm.upf
Np 237.00 Np.upf
Fe 55.84 Fe.upf
O 16.00 O.upf
ATOMIC_POSITIONS crystal
Tm 0.000 0.000 0.000
Np 0.991 0.493 0.483
Fe 0.578 0.283 0.863
Fe 0.597 0.810 0.383
O 0.101 0.205 0.690
O 0.109 0.409 0.206
O 0.491 0.890 0.681
O 0.504 0.105 0.182
O 0.798 0.705 0.210
O 0.809 0.582 0.705
CELL_PARAMETERS angstrom
5.495 0.000 0.000
-2.738 4.798 0.000
-2.661 -1.546 4.955
```

DOS at the Fermi energy in states/eV/atom: 0.841
M_tot in μB/cell: 6.0
ρ in g cm⁻³: 7.8
E in hartree per atom: -0.30542